No. 1
BaEr2Tl2Ag2: optimized geometry, PBE.

Cell lengths 9.977, 9.977, 9.977 Å; angles 29.00, 29.00, 29.00 degrees
Positions (direct):
Ba (0.000, 0.000, 0.000)
Er (0.135, 0.135, 0.135)
Er (0.865, 0.865, 0.865)
Tl (0.251, 0.251, 0.251)
Tl (0.749, 0.749, 0.749)
Ag (0.446, 0.446, 0.446)
Ag (0.554, 0.554, 0.554)

Properties
For the formation enthalpy at 0 K, the calculation gives -0.24 eV/atom. The calculation puts the density at 8.8 g cm⁻³. Its total energy is -23.149 eV/f.u. The calculation puts the volume at 206.5 Å³ per cell.

=====

No. 2
BaEuAg2: optimized geometry, PBE.

Cell lengths 5.633, 5.633, 3.954 Å; angles 90.00, 90.00, 90.00 degrees
Positions (direct):
Ba (0.000, 0.000, 0.000)
Eu (0.500, 0.500, 0.000)
Ag (0.000, 0.500, 0.500)
Ag (0.500, 0.000, 0.500)

Properties
For the formation enthalpy at 0 K, the calculation gives -0.23 eV/atom. For the energy above the most stable polymorph in this dataset, the calculation gives 0.12 eV per formula unit. The calculation puts the density at 6.7 g cm⁻³. Its total energy is -18.836 eV/f.u. The calculation puts the volume at 125.5 Å³ per cell.

=====

Look up the volume of the second one.
125.5 Å³ per cell